No. 1
Material: Sm3ScSn2
Method: DFT, PBE
State: relaxed

abc: 4.543 4.543 8.513
angles: 90.00 90.00 90.00
Sites, in units of the cell vectors:
Sn 0.000 0.500 0.272
Sm 0.500 0.000 0.347
Sm 0.000 0.000 0.000
Sn 0.500 0.000 0.728
Sc 0.500 0.500 0.000
Sm 0.000 0.500 0.653

Properties
As for the size of the total moment: 0.0 μB per formula unit. For the calculated total energy, the calculation gives -5.3321 eV per atom. The formation enthalpy at 0 K comes out at -0.5830 eV/atom.

No. 2
Material: SmScSn
Method: DFT, PBE
State: relaxed

abc: 3.826 3.826 6.131
angles: 108.18 108.18 90.00
Each line ends with the local moment (μB).
Sites, in units of the cell vectors:
Sn 0.268 0.268 0.536  0.03
Sm 0.946 0.946 0.892  0.32
Sc 0.636 0.636 0.272  0.45

Properties
As for the size of the total moment: 1.5 μB per formula unit. For the calculated total energy, the calculation gives -5.4158 eV per atom. As for the energy above the most stable polymorph in this dataset: 231.7 meV/atom. The formation enthalpy at 0 K comes out at -0.3980 eV/atom.

No. 3
Material: Sm3ScSn2
Method: DFT, PBE
State: relaxed

abc: 6.437 6.401 9.633
angles: 109.41 109.52 90.00
Sites, in units of the cell vectors:
Sm 0.919 0.174 0.349
Sn 0.898 0.635 0.269
Sn 0.102 0.365 0.731
Sm 0.500 0.750 0.000
Sm 0.430 0.674 0.349
Sm 0.500 0.250 0.000
Sn 0.371 0.135 0.269
Sm 0.081 0.826 0.651
Sm 0.570 0.326 0.651
Sn 0.629 0.865 0.731
Sc 0.000 0.250 0.000
Sc 0.000 0.750 0.000

Properties
As for the size of the total moment: 0.0 μB per formula unit. For the calculated total energy, the calculation gives -5.3340 eV per atom. The formation enthalpy at 0 K comes out at -0.5849 eV/atom.

No. 4
Material: SmSc2Sn
Method: DFT, PBE
State: relaxed

abc: 4.593 4.669 4.669
angles: 90.00 90.00 90.00
Each line ends with the local moment (μB).
Sites, in units of the cell vectors:
Sn 0.500 0.500 0.500  -0.01
Sm 0.500 0.000 0.000  0.05
Sc 0.000 0.500 0.000  0.14
Sc 0.000 0.000 0.500  0.14

Properties
As for the size of the total moment: 0.5 μB per formula unit. For the calculated total energy, the calculation gives -5.7507 eV per atom. As for the energy above the most stable polymorph in this dataset: 58.9 meV/atom. The formation enthalpy at 0 K comes out at -0.4044 eV/atom.

No. 5
Material: Sm4ScSn2
Method: DFT, PBE
State: relaxed

abc: 5.391 5.391 9.656
angles: 73.79 73.79 60.00
Sites, in units of the cell vectors:
Sn 0.396 0.396 0.813
Sc 0.500 0.500 0.500
Sm 0.126 0.126 0.621
Sm 0.280 0.280 0.159
Sm 0.720 0.720 0.841
Sm 0.874 0.874 0.379
Sn 0.604 0.604 0.187

Properties
As for the size of the total moment: 0.0 μB per formula unit. For the calculated total energy, the calculation gives -5.0240 eV per atom. The formation enthalpy at 0 K comes out at -0.2792 eV/atom.

No. 6
Material: Sm3ScSn3
Method: DFT, PBE
State: relaxed

abc: 6.249 9.416 9.416
angles: 120.00 90.00 90.00
Sites, in units of the cell vectors:
Sn 0.250 0.352 0.033
Sn 0.250 0.967 0.318
Sn 0.250 0.682 0.648
Sn 0.750 0.648 0.967
Sm 0.750 0.353 0.042
Sm 0.750 0.690 0.647
Sc 0.250 0.667 0.333
Sm 0.250 0.042 0.690
Sc 0.750 0.333 0.667
Sm 0.750 0.958 0.310
Sn 0.750 0.033 0.682
Sn 0.750 0.318 0.352
Sm 0.250 0.310 0.353
Sm 0.250 0.647 0.958

Properties
As for the size of the total moment: 0.0 μB per formula unit. For the calculated total energy, the calculation gives -5.0505 eV per atom. The formation enthalpy at 0 K comes out at -0.4080 eV/atom.